Entry 1:
PmPr3SmY: relaxed, PBE.

Cell lengths 6.4436, 6.4436, 12.1234 Å; angles 90.00, 90.00, 124.03 degrees
With the nearest neighbours (Å) after each atom.
Positions (direct):
1 Pm 0.0216 0.9784 0.7500  6 Pr 3.33-3.66, 3 Y 3.54-3.71
2 Pm 0.9784 0.0216 0.2500  6 Pr 3.33-3.66, 3 Y 3.54-3.71
3 Pr 0.1674 0.8326 0.0191  2 Pm 3.53-3.66, 4 Pr 3.53-3.84, 3 Sm 3.58-3.79, 1 Y 3.76
4 Pr 0.1674 0.8326 0.4809  2 Pm 3.53-3.66, 4 Pr 3.53-3.84, 3 Sm 3.58-3.79, 1 Y 3.76
5 Pr 0.3568 0.6432 0.2500  2 Pm 3.33, 2 Sm 3.44, 2 Pr 3.53, 3 Y 3.54-3.71
6 Pr 0.6432 0.3568 0.7500  2 Pm 3.33, 2 Sm 3.44, 2 Pr 3.53, 3 Y 3.54-3.71
7 Pr 0.8326 0.1674 0.5191  2 Pm 3.53-3.66, 4 Pr 3.53-3.84, 3 Sm 3.58-3.79, 1 Y 3.76
8 Pr 0.8326 0.1674 0.9809  2 Pm 3.53-3.66, 4 Pr 3.53-3.84, 3 Sm 3.58-3.79, 1 Y 3.76
9 Sm 0.5000 0.5000 0.0000  8 Pr 3.44-3.79, 2 Y 3.58
10 Sm 0.5000 0.5000 0.5000  8 Pr 3.44-3.79, 2 Y 3.58
11 Y 0.3324 0.6676 0.7500  3 Pm 3.54-3.71, 5 Pr 3.54-3.76, 2 Sm 3.58
12 Y 0.6676 0.3324 0.2500  3 Pm 3.54-3.71, 5 Pr 3.54-3.76, 2 Sm 3.58

Raw total energy   -4.94 eV per atom
Symmetry   No. 63
M_tot   0.0 μB/f.u.


Entry 2:
PmPrSm6Y2: relaxed, PBE.

Cell lengths 8.9449, 8.9449, 9.5132 Å; angles 92.75, 92.75, 115.60 degrees
With the nearest neighbours (Å) after each atom.
Positions (direct):
1 Pm 0.0898 0.9102 0.7500  6 Sm 3.46-3.53, 2 Y 3.55
2 Pm 0.9102 0.0898 0.2500  6 Sm 3.46-3.53, 2 Y 3.55
3 Pr 0.4578 0.5422 0.2500  4 Y 3.42-3.59, 6 Sm 3.53-3.73
4 Pr 0.5422 0.4578 0.7500  4 Y 3.42-3.59, 6 Sm 3.53-3.73
5 Sm 0.0301 0.7942 0.3869  4 Sm 3.22-3.58, 3 Y 3.39-3.55, 2 Pm 3.51-3.53
6 Sm 0.0512 0.5036 0.1805  2 Sm 3.26-3.50, 1 Pm 3.46, 2 Y 3.51-3.63, 1 Pr 3.53
7 Sm 0.2058 0.9699 0.1131  4 Sm 3.22-3.58, 3 Y 3.39-3.55, 2 Pm 3.51-3.53
8 Sm 0.2617 0.6049 0.5603  7 Sm 3.47-3.87, 2 Y 3.56-3.86, 2 Pr 3.65-3.73
9 Sm 0.3951 0.7383 0.9397  7 Sm 3.47-3.87, 2 Y 3.56-3.86, 2 Pr 3.65-3.73
10 Sm 0.4964 0.9488 0.3195  2 Sm 3.26-3.50, 1 Pm 3.46, 2 Y 3.51-3.63, 1 Pr 3.53
11 Sm 0.5036 0.0512 0.6805  2 Sm 3.26-3.50, 1 Pm 3.46, 2 Y 3.51-3.63, 1 Pr 3.53
12 Sm 0.6049 0.2617 0.0603  7 Sm 3.47-3.87, 2 Y 3.56-3.86, 2 Pr 3.65-3.73
13 Sm 0.7383 0.3951 0.4397  7 Sm 3.47-3.87, 2 Y 3.56-3.86, 2 Pr 3.65-3.73
14 Sm 0.7942 0.0301 0.8869  4 Sm 3.22-3.58, 3 Y 3.39-3.55, 2 Pm 3.51-3.53
15 Sm 0.9488 0.4964 0.8195  2 Sm 3.26-3.50, 1 Pm 3.46, 2 Y 3.51-3.63, 1 Pr 3.53
16 Sm 0.9699 0.2058 0.6131  4 Sm 3.22-3.58, 3 Y 3.39-3.55, 2 Pm 3.51-3.53
17 Y 0.2028 0.2976 0.9446  6 Sm 3.39-3.63, 2 Pr 3.42-3.59, 1 Pm 3.55
18 Y 0.2976 0.2028 0.4446  6 Sm 3.39-3.63, 2 Pr 3.42-3.59, 1 Pm 3.55
19 Y 0.7024 0.7972 0.5554  6 Sm 3.39-3.63, 2 Pr 3.42-3.59, 1 Pm 3.55
20 Y 0.7972 0.7024 0.0554  6 Sm 3.39-3.63, 2 Pr 3.42-3.59, 1 Pm 3.55

Raw total energy   -4.96 eV per atom
Symmetry   No. 15
M_tot   0.0 μB/f.u.


Entry 3:
Pm2Pr4Sm2Y: relaxed, PBE.

Cell lengths 3.6631, 9.0071, 9.7086 Å; angles 89.98, 79.13, 89.90 degrees
With the nearest neighbours (Å) after each atom.
Positions (direct):
1 Pm 0.1112 0.3302 0.2776  2 Sm 3.64-3.65, 1 Y 3.65, 7 Pr 3.66-3.72, 2 Pm 3.66
2 Pm 0.8888 0.6698 0.7224  2 Sm 3.64-3.65, 1 Y 3.65, 7 Pr 3.66-3.72, 2 Pm 3.66
3 Pr 0.2224 0.6697 0.0552  3 Sm 3.65-3.66, 6 Pr 3.66-3.72, 3 Pm 3.66-3.72
4 Pr 0.4452 0.3319 0.6097  2 Y 3.66, 4 Pm 3.66-3.71, 5 Pr 3.66-3.68, 1 Sm 3.67
5 Pr 0.5548 0.6681 0.3903  2 Y 3.66, 4 Pm 3.66-3.71, 5 Pr 3.66-3.68, 1 Sm 3.67
6 Pr 0.7776 0.3303 0.9448  3 Sm 3.65-3.66, 6 Pr 3.66-3.72, 3 Pm 3.66-3.72
7 Sm 0.3339 0.9997 0.8321  2 Pm 3.64-3.65, 4 Pr 3.65-3.67, 2 Y 3.66, 4 Sm 3.66-3.69
8 Sm 0.6661 0.0003 0.1679  2 Pm 3.64-3.65, 4 Pr 3.65-3.67, 2 Y 3.66, 4 Sm 3.66-3.69
9 Y 0.0000 0.0000 0.5000  2 Pm 3.65, 4 Pr 3.66, 4 Sm 3.66, 2 Y 3.66

Raw total energy   -4.93 eV per atom
Symmetry   No. 2
M_tot   0.0 μB/f.u.


Entry 4:
Pm6Pr2SmY3: relaxed, PBE.

Cell lengths 6.3147, 6.3147, 12.0442 Å; angles 95.01, 95.01, 120.01 degrees
With the nearest neighbours (Å) after each atom.
Positions (direct):
1 Pm 0.0842 0.4169 0.7532  3 Y 3.60-3.61, 6 Pm 3.64-3.65, 1 Sm 3.66, 2 Pr 3.67
2 Pm 0.2486 0.2486 0.2466  3 Y 3.60, 6 Pm 3.64-3.65, 1 Sm 3.67, 2 Pr 3.67
3 Pm 0.4169 0.0842 0.7532  3 Y 3.60-3.61, 6 Pm 3.64-3.65, 1 Sm 3.66, 2 Pr 3.67
4 Pm 0.5831 0.9158 0.2468  3 Y 3.60-3.61, 6 Pm 3.64-3.65, 1 Sm 3.66, 2 Pr 3.67
5 Pm 0.7514 0.7514 0.7534  3 Y 3.60, 6 Pm 3.64-3.65, 1 Sm 3.67, 2 Pr 3.67
6 Pm 0.9158 0.5831 0.2468  3 Y 3.60-3.61, 6 Pm 3.64-3.65, 1 Sm 3.66, 2 Pr 3.67
7 Pr 0.3334 0.6666 0.5000  3 Pr 3.64-3.65, 3 Sm 3.64-3.65, 6 Pm 3.67
8 Pr 0.6666 0.3334 0.5000  3 Pr 3.64-3.65, 3 Sm 3.64-3.65, 6 Pm 3.67
9 Sm 0.0000 0.0000 0.5000  6 Pr 3.64-3.65, 6 Pm 3.66-3.67
10 Y 0.1666 0.8334 0.0000  6 Pm 3.60-3.61, 6 Y 3.64-3.65
11 Y 0.5000 0.5000 0.0000  6 Pm 3.60, 6 Y 3.65
12 Y 0.8334 0.1666 0.0000  6 Pm 3.60-3.61, 6 Y 3.64-3.65

Raw total energy   -5.17 eV per atom
Symmetry   No. 12
M_tot   0.0 μB/f.u.


Entry 5:
PmPr2Sm2Y4: relaxed, PBE.

Cell lengths 9.6625, 9.6625, 9.7178 Å; angles 115.24, 115.24, 21.81 degrees
With the nearest neighbours (Å) after each atom.
Positions (direct):
1 Pm 0.0000 0.0000 0.0000  6 Y 3.61, 4 Pr 3.64, 2 Pm 3.66
2 Pr 0.3341 0.3341 0.9997  3 Y 3.61-3.62, 3 Sm 3.63, 2 Pm 3.64, 4 Pr 3.66-3.68
3 Pr 0.6659 0.6659 0.0003  3 Y 3.61-3.62, 3 Sm 3.63, 2 Pm 3.64, 4 Pr 3.66-3.68
4 Sm 0.1476 0.1476 0.6635  7 Y 3.55-3.67, 3 Pr 3.63, 2 Sm 3.66
5 Sm 0.8524 0.8524 0.3365  7 Y 3.55-3.67, 3 Pr 3.63, 2 Sm 3.66
6 Y 0.1854 0.1854 0.3363  3 Sm 3.55-3.66, 6 Y 3.56-3.66, 1 Pm 3.61, 2 Pr 3.62
7 Y 0.4805 0.4805 0.6651  4 Sm 3.57-3.67, 5 Y 3.59-3.66, 2 Pm 3.61, 1 Pr 3.61
8 Y 0.5195 0.5195 0.3349  4 Sm 3.57-3.67, 5 Y 3.59-3.66, 2 Pm 3.61, 1 Pr 3.61
9 Y 0.8146 0.8146 0.6637  3 Sm 3.55-3.66, 6 Y 3.56-3.66, 1 Pm 3.61, 2 Pr 3.62

Raw total energy   -5.51 eV per atom
Symmetry   No. 12
M_tot   0.0 μB/f.u.


Entry 6:
PmPr6SmY2: relaxed, PBE.

Cell lengths 6.7163, 6.7163, 9.0091 Å; angles 101.46, 101.46, 64.76 degrees
With the nearest neighbours (Å) after each atom.
Positions (direct):
1 Pm 0.0000 0.0000 0.0000  6 Pr 3.58-3.79, 4 Y 3.93
2 Pr 0.0945 0.5517 0.2006  2 Y 3.24-3.53, 2 Pr 3.29-3.62, 1 Sm 3.39, 1 Pm 3.58
3 Pr 0.1337 0.1337 0.4276  5 Pr 3.57-3.81, 1 Pm 3.79
4 Pr 0.4483 0.9055 0.7994  2 Y 3.24-3.53, 2 Pr 3.29-3.62, 1 Sm 3.39, 1 Pm 3.58
5 Pr 0.5517 0.0945 0.2006  2 Y 3.24-3.53, 2 Pr 3.29-3.62, 1 Sm 3.39, 1 Pm 3.58
6 Pr 0.8663 0.8663 0.5724  5 Pr 3.57-3.81, 1 Pm 3.79
7 Pr 0.9055 0.4483 0.7994  2 Y 3.24-3.53, 2 Pr 3.29-3.62, 1 Sm 3.39, 1 Pm 3.58
8 Sm 0.5000 0.5000 0.5000  4 Pr 3.39, 2 Y 3.42
9 Y 0.4102 0.4102 0.8367  1 Y 3.16, 4 Pr 3.24-3.53, 1 Sm 3.42
10 Y 0.5898 0.5898 0.1633  1 Y 3.16, 4 Pr 3.24-3.53, 1 Sm 3.42

Raw total energy   -4.90 eV per atom
Symmetry   No. 12
M_tot   0.0 μB/f.u.


Entry 7:
PmPrSm3Y: relaxed, PBE.

Cell lengths 6.3699, 6.3699, 12.0698 Å; angles 90.00, 90.00, 123.40 degrees
With the nearest neighbours (Å) after each atom.
Positions (direct):
1 Pm 0.0056 0.9944 0.7500  3 Y 3.52-3.80, 7 Sm 3.56-3.62
2 Pm 0.9944 0.0056 0.2500  3 Y 3.52-3.80, 7 Sm 3.56-3.62
3 Pr 0.5000 0.5000 0.0000  2 Y 3.55, 8 Sm 3.57-3.70
4 Pr 0.5000 0.5000 0.5000  2 Y 3.55, 8 Sm 3.57-3.70
5 Sm 0.1703 0.8297 0.0045  1 Y 3.48, 4 Sm 3.51-3.82, 2 Pm 3.56-3.58, 3 Pr 3.57-3.70
6 Sm 0.1703 0.8297 0.4955  1 Y 3.48, 4 Sm 3.51-3.82, 2 Pm 3.56-3.58, 3 Pr 3.57-3.70
7 Sm 0.3272 0.6728 0.7500  3 Y 3.52-3.81, 2 Sm 3.54, 2 Pr 3.59, 3 Pm 3.61-3.62
8 Sm 0.6728 0.3272 0.2500  3 Y 3.52-3.81, 2 Sm 3.54, 2 Pr 3.59, 3 Pm 3.61-3.62
9 Sm 0.8297 0.1703 0.5045  1 Y 3.48, 4 Sm 3.51-3.82, 2 Pm 3.56-3.58, 3 Pr 3.57-3.70
10 Sm 0.8297 0.1703 0.9955  1 Y 3.48, 4 Sm 3.51-3.82, 2 Pm 3.56-3.58, 3 Pr 3.57-3.70
11 Y 0.3333 0.6667 0.2500  5 Sm 3.48-3.81, 3 Pm 3.52-3.80, 2 Pr 3.55
12 Y 0.6667 0.3333 0.7500  5 Sm 3.48-3.81, 3 Pm 3.52-3.80, 2 Pr 3.55

Raw total energy   -4.91 eV per atom
Symmetry   No. 63
M_tot   0.0 μB/f.u.


Entry 8:
Pm3Pr6SmY2: relaxed, PBE.

Cell lengths 6.3735, 6.3735, 12.0945 Å; angles 95.04, 95.04, 120.03 degrees
With the nearest neighbours (Å) after each atom.
Positions (direct):
1 Pm 0.0000 0.0000 0.0000  6 Pr 3.67-3.68, 6 Pm 3.68
2 Pm 0.3332 0.6668 0.0000  6 Pr 3.67, 6 Pm 3.68
3 Pm 0.6668 0.3332 0.0000  6 Pr 3.67, 6 Pm 3.68
4 Pr 0.0838 0.4168 0.2516  2 Y 3.64, 1 Sm 3.64, 3 Pm 3.67, 6 Pr 3.68
5 Pr 0.2501 0.2501 0.7482  1 Sm 3.64, 2 Y 3.64, 3 Pm 3.67-3.68, 6 Pr 3.68
6 Pr 0.4168 0.0838 0.2516  2 Y 3.64, 1 Sm 3.64, 3 Pm 3.67, 6 Pr 3.68
7 Pr 0.5832 0.9162 0.7484  2 Y 3.64, 1 Sm 3.64, 3 Pm 3.67, 6 Pr 3.68
8 Pr 0.7499 0.7499 0.2517  1 Sm 3.64, 2 Y 3.64, 3 Pm 3.67-3.68, 6 Pr 3.68
9 Pr 0.9162 0.5832 0.7484  2 Y 3.64, 1 Sm 3.64, 3 Pm 3.67, 6 Pr 3.68
10 Sm 0.5000 0.5000 0.5000  6 Pr 3.64, 6 Y 3.68
11 Y 0.1666 0.8334 0.5000  6 Pr 3.64, 3 Sm 3.68, 3 Y 3.68
12 Y 0.8334 0.1666 0.5000  6 Pr 3.64, 3 Sm 3.68, 3 Y 3.68

Raw total energy   -5.04 eV per atom
Symmetry   No. 12
M_tot   0.0 μB/f.u.


Short version: calculated volume = 417.1 683.6 314.6 409.5 303.7 357.3 408.8 418.7 Å³/cell, in the order given.